## Sm2ErAg3Te6 (PBE)

Data for a geometry-optimized Sm2ErAg3Te6 structure.

Summary:
The value obtained for the total energy is -0.316 Ry/atom. The uncorrected formation energy is -0.849 eV/atom.

Lattice parameters (Å, degrees): 10.154 10.154 8.521 102.79 102.79 25.20
Element x y z (fractional)
Sm: 0.172 0.172 0.307
Sm: 0.828 0.828 0.693
Er: 0.500 0.500 0.000
Ag: 0.206 0.206 0.772
Ag: 0.500 0.500 0.500
Ag: 0.794 0.794 0.228
Te: 0.010 0.010 0.255
Te: 0.339 0.339 0.430
Te: 0.341 0.341 0.962
Te: 0.659 0.659 0.038
Te: 0.661 0.661 0.570
Te: 0.990 0.990 0.745

=====

## Sm2ErAgTe5 (PBE)

Data for a geometry-optimized Sm2ErAgTe5 structure.

Summary:
The value obtained for the total energy is -0.350 Ry/atom. The uncorrected formation energy is -1.149 eV/atom.

Lattice parameters (Å, degrees): 9.639 9.639 13.269 90.00 90.00 153.88
Element x y z (fractional)
Sm: 0.111 0.889 0.500
Sm: 0.126 0.874 0.117
Sm: 0.874 0.126 0.617
Sm: 0.889 0.111 0.000
Er: 0.192 0.808 0.822
Er: 0.808 0.192 0.322
Ag: 0.431 0.569 0.274
Ag: 0.569 0.431 0.774
Te: 0.042 0.958 0.892
Te: 0.286 0.714 0.481
Te: 0.306 0.694 0.154
Te: 0.356 0.644 0.812
Te: 0.498 0.502 0.593
Te: 0.502 0.498 0.093
Te: 0.644 0.356 0.312
Te: 0.694 0.306 0.654
Te: 0.714 0.286 0.981
Te: 0.958 0.042 0.392

=====

## SmErAg2Te4 (PBE)

Data for a geometry-optimized SmErAg2Te4 structure.

Summary:
The value obtained for the total energy is -0.314 Ry/atom. The uncorrected formation energy is -0.829 eV/atom.

Lattice parameters (Å, degrees): 7.439 4.432 7.671 90.00 109.84 90.00
Element x y z (fractional)
Sm: 0.000 0.000 0.000
Er: 0.000 0.500 0.500
Ag: 0.500 0.000 0.500
Ag: 0.500 0.500 0.000
Te: 0.254 0.000 0.745
Te: 0.257 0.500 0.257
Te: 0.743 0.500 0.743
Te: 0.746 0.000 0.255

=====

## SmErTlAg (PBE)

Data for a geometry-optimized SmErTlAg structure.

Summary:
The value obtained for the total energy is -0.291 Ry/atom. The distance to the lowest polymorph of the same formula comes out at 0.0 meV per atom.

Lattice parameters (Å, degrees): 3.666 3.666 7.782 90.00 90.00 90.00
Element x y z (fractional)
Sm: 0.000 0.000 0.000
Er: 0.000 0.000 0.531
Tl: 0.500 0.500 0.272
Ag: 0.500 0.500 0.743

=====

## SmEr2Tl2Ag2 (PBE)

Data for a geometry-optimized SmEr2Tl2Ag2 structure.

Summary:
The value obtained for the total energy is -0.268 Ry/atom.

Lattice parameters (Å, degrees): 9.081 9.081 9.081 31.35 31.35 31.35
Element x y z (fractional)
Sm: 0.000 0.000 0.000
Er: 0.133 0.133 0.133
Er: 0.867 0.867 0.867
Tl: 0.264 0.264 0.264
Tl: 0.736 0.736 0.736
Ag: 0.438 0.438 0.438
Ag: 0.562 0.562 0.562

=====

## SmErTlAg (PBE)

Data for a geometry-optimized SmErTlAg structure.

Summary:
The value obtained for the total energy is -0.290 Ry/atom. The distance to the lowest polymorph of the same formula comes out at 6.5 meV per atom.

Lattice parameters (Å, degrees): 5.298 5.298 5.298 60.00 60.00 60.00
Element x y z (fractional)
Sm: 0.000 0.000 0.000
Er: 0.500 0.500 0.500
Tl: 0.750 0.750 0.750
Ag: 0.250 0.250 0.250

=====

## SmErTmAg (PBE)

Data for a geometry-optimized SmErTmAg structure.

Summary:
The value obtained for the total energy is -0.315 Ry/atom. The distance to the lowest polymorph of the same formula comes out at 0.0 meV per atom.

Lattice parameters (Å, degrees): 3.556 3.556 8.820 90.00 90.00 90.00
Element x y z (fractional)
Sm: 0.000 0.000 0.000
Er: 0.500 0.500 0.709
Tm: 0.500 0.500 0.289
Ag: 0.000 0.000 0.497

=====

## SmErTmAg (PBE)

Data for a geometry-optimized SmErTmAg structure.

Summary:
The value obtained for the total energy is -0.301 Ry/atom. The distance to the lowest polymorph of the same formula comes out at 190.3 meV per atom.

Lattice parameters (Å, degrees): 5.372 5.372 5.372 60.00 60.00 60.00
Element x y z (fractional)
Sm: 0.000 0.000 0.000
Er: 0.500 0.500 0.500
Tm: 0.750 0.750 0.750
Ag: 0.250 0.250 0.250

=====

## SmEr2TmAg4 (PBE)

Data for a geometry-optimized SmEr2TmAg4 structure.

Summary:
The value obtained for the total energy is -0.296 Ry/atom.

Lattice parameters (Å, degrees): 8.911 8.911 8.911 33.43 33.43 33.43
Element x y z (fractional)
Sm: 0.000 0.000 0.000
Er: 0.249 0.249 0.249
Er: 0.751 0.751 0.751
Tm: 0.500 0.500 0.500
Ag: 0.127 0.127 0.127
Ag: 0.378 0.378 0.378
Ag: 0.622 0.622 0.622
Ag: 0.873 0.873 0.873

=====

## Er6Ag2Sn (PBE)

Data for a geometry-optimized Er6Ag2Sn structure.

Summary:
The value obtained for the total energy is -0.323 Ry/atom.

Lattice parameters (Å, degrees): 8.602 8.602 8.602 110.66 110.05 107.72
Element x y z (fractional)
Er: 0.041 0.823 0.217
Er: 0.244 0.539 0.296
Er: 0.244 0.948 0.704
Er: 0.272 0.318 0.590
Er: 0.272 0.682 0.954
Er: 0.394 0.177 0.217
Er: 0.606 0.823 0.783
Er: 0.728 0.318 0.046
Er: 0.728 0.682 0.410
Er: 0.756 0.052 0.296
Er: 0.756 0.461 0.704
Er: 0.959 0.177 0.783
Ag: 0.000 0.145 0.145
Ag: 0.000 0.855 0.855
Ag: 0.367 0.367 0.000
Ag: 0.633 0.633 0.000
Sn: 0.000 0.500 0.500
Sn: 0.500 0.000 0.500

=====

## ErAgSn2 (PBE)

Data for a geometry-optimized ErAgSn2 structure.

Summary:
The value obtained for the total energy is -0.314 Ry/atom. The distance to the lowest polymorph of the same formula comes out at 0.0 meV per atom.

Lattice parameters (Å, degrees): 4.644 4.644 4.367 90.00 90.00 90.00
Element x y z (fractional)
Er: 0.000 0.000 0.000
Ag: 0.500 0.500 0.000
Sn: 0.000 0.500 0.500
Sn: 0.500 0.000 0.500

=====

## ErAg3Sn (PBE)

Data for a geometry-optimized ErAg3Sn structure.

Summary:
The value obtained for the total energy is -0.261 Ry/atom.

Lattice parameters (Å, degrees): 14.141 14.141 3.416 90.00 90.00 160.92
Element x y z (fractional)
Er: 0.174 0.826 0.000
Er: 0.826 0.174 0.000
Ag: 0.053 0.947 0.500
Ag: 0.274 0.726 0.500
Ag: 0.453 0.547 0.000
Ag: 0.547 0.453 0.000
Ag: 0.726 0.274 0.500
Ag: 0.947 0.053 0.500
Sn: 0.374 0.626 0.500
Sn: 0.626 0.374 0.500